No. 1
{"formula": "AlPd8Au6", "functional": "PBE", "state": "optimized geometry", "lattice_angstrom": [[-0.513, 0.619, -4.950], [7.580, 0.404, -0.734], [-3.523, -6.747, -0.479]], "species": ["Au", "Au", "Au", "Au", "Au", "Au", "Pd", "Pd", "Pd", "Pd", "Pd", "Pd", "Pd", "Pd", "Al"], "fractional_positions": [[0.281, 0.367, 0.901], [0.281, 0.099, 0.467], [0.719, 0.633, 0.099], [0.719, 0.901, 0.533], [0.719, 0.467, 0.367], [0.281, 0.533, 0.633], [0.790, 0.052, 0.265], [0.782, 0.333, 0.667], [0.790, 0.213, 0.948], [0.210, 0.787, 0.052], [0.218, 0.667, 0.333], [0.210, 0.265, 0.213], [0.790, 0.735, 0.787], [0.210, 0.948, 0.735], [0.500, 0.000, 0.000]], "dos_ef_per_ev_cell": 6.51}

---

No. 2
{"formula": "AlPdAu", "functional": "PBE", "state": "optimized geometry", "lattice_angstrom": [[-0.346, 2.045, 1.932], [-2.727, -0.724, 0.278], [3.223, -5.095, 3.893]], "species": ["Pd", "Al", "Au"], "fractional_positions": [[0.940, 0.940, 0.879], [0.770, 0.770, 0.540], [0.141, 0.141, 0.281]], "dos_ef_per_ev_cell": 1.38}

---

No. 3
{"formula": "Al4Pd3Au4", "functional": "PBE", "state": "optimized geometry", "lattice_angstrom": [[2.966, 0.000, 0.000], [0.000, 7.480, 0.000], [-1.483, -3.740, 8.064]], "species": ["Pd", "Pd", "Pd", "Al", "Al", "Al", "Al", "Au", "Au", "Au", "Au"], "fractional_positions": [[0.095, 0.095, 0.190], [0.905, 0.905, 0.810], [0.000, 0.500, 0.000], [0.267, 0.767, 0.534], [0.733, 0.233, 0.466], [0.500, 0.792, 0.000], [0.500, 0.208, 0.000], [0.656, 0.470, 0.312], [0.344, 0.530, 0.688], [0.656, 0.842, 0.312], [0.344, 0.158, 0.688]], "dos_ef_per_ev_cell": 3.16}

---

No. 4
{"formula": "AlPd2Au2", "functional": "PBE", "state": "optimized geometry", "lattice_angstrom": [[0.089, 1.987, -2.256], [0.746, -2.201, -1.909], [-9.024, -1.380, 0.433]], "species": ["Pd", "Pd", "Al", "Au", "Au"], "fractional_positions": [[0.417, 0.417, 0.834], [0.583, 0.583, 0.166], [0.000, 0.000, 0.000], [0.194, 0.194, 0.388], [0.806, 0.806, 0.612]], "dos_ef_per_ev_cell": 1.97}

---

No. 5
{"formula": "AlPd5Au", "functional": "PBE", "state": "optimized geometry", "lattice_angstrom": [[-3.242, -0.874, 2.220], [-2.054, -0.883, -3.347], [2.115, -6.675, 0.462]], "species": ["Pd", "Pd", "Pd", "Pd", "Pd", "Au", "Al"], "fractional_positions": [[0.500, 0.000, 0.210], [0.000, 0.500, 0.790], [0.500, 0.000, 0.790], [0.500, 0.500, 0.500], [0.000, 0.500, 0.210], [0.000, 0.000, 0.500], [0.500, 0.500, 0.000]], "dos_ef_per_ev_cell": 3.46}

---

No. 6
{"formula": "AlPd4Au2", "functional": "PBE", "state": "optimized geometry", "lattice_angstrom": [[6.270, 0.350, 2.523], [-3.511, 5.527, 1.709], [-0.223, 0.350, 6.755]], "species": ["Au", "Au", "Au", "Au", "Pd", "Pd", "Pd", "Pd", "Pd", "Pd", "Pd", "Pd", "Al", "Al"], "fractional_positions": [[0.862, 0.737, 0.625], [0.138, 0.513, 0.125], [0.638, 0.125, 0.737], [0.362, 0.625, 0.513], [0.238, 0.890, 0.717], [0.893, 0.360, 0.901], [0.762, 0.044, 0.349], [0.107, 0.206, 0.533], [0.738, 0.533, 0.360], [0.607, 0.717, 0.044], [0.262, 0.901, 0.206], [0.393, 0.349, 0.890], [0.000, 0.000, 0.000], [0.500, 0.250, 0.250]], "dos_ef_per_ev_cell": 4.96}

---

No. 7
{"formula": "Al2Pd2Au", "functional": "PBE", "state": "optimized geometry", "lattice_angstrom": [[-2.168, 2.826, -1.432], [-2.914, -1.099, 2.245], [-0.656, 4.437, 4.602]], "species": ["Al", "Al", "Pd", "Pd", "Au"], "fractional_positions": [[0.610, 0.610, 0.780], [0.390, 0.390, 0.220], [0.250, 0.750, 0.500], [0.750, 0.250, 0.500], [0.000, 0.000, 0.000]], "dos_ef_per_ev_cell": 1.20}

---

No. 8
{"formula": "Al2PdAu2", "functional": "PBE", "state": "optimized geometry", "lattice_angstrom": [[-3.394, -0.420, 2.684], [-3.081, -1.340, -4.106], [3.339, -6.644, -0.337]], "species": ["Pd", "Pd", "Al", "Al", "Al", "Al", "Au", "Au", "Au", "Au"], "fractional_positions": [[0.366, 0.044, 0.731], [0.634, 0.544, 0.269], [0.223, 0.378, 0.446], [0.557, 0.017, 0.114], [0.777, 0.878, 0.554], [0.443, 0.517, 0.886], [0.830, 0.384, 0.659], [0.962, 0.811, 0.924], [0.038, 0.311, 0.076], [0.170, 0.884, 0.341]], "dos_ef_per_ev_cell": 3.56}

---

No. 9
{"formula": "Al6PdAu12", "functional": "PBE", "state": "optimized geometry", "lattice_angstrom": [[6.938, 0.000, 2.224], [-3.416, 6.258, 2.699], [0.107, 0.000, 7.622]], "species": ["Au", "Au", "Au", "Au", "Au", "Au", "Au", "Au", "Au", "Au", "Au", "Au", "Al", "Al", "Al", "Al", "Al", "Al", "Pd"], "fractional_positions": [[0.853, 0.886, 0.438], [0.291, 0.438, 0.676], [0.033, 0.324, 0.114], [0.187, 0.711, 0.158], [0.524, 0.869, 0.289], [0.476, 0.131, 0.711], [0.345, 0.158, 0.131], [0.655, 0.842, 0.869], [0.967, 0.676, 0.886], [0.813, 0.289, 0.842], [0.709, 0.562, 0.324], [0.147, 0.114, 0.562], [0.910, 0.299, 0.483], [0.393, 0.483, 0.217], [0.607, 0.517, 0.783], [0.611, 0.217, 0.299], [0.090, 0.701, 0.517], [0.389, 0.783, 0.701], [0.000, 0.000, 0.000]], "dos_ef_per_ev_cell": 4.45}

---

No. 10
{"formula": "Al6Pd12Au", "functional": "PBE", "state": "optimized geometry", "lattice_angstrom": [[7.159, -0.683, -0.818], [-1.760, 6.973, -0.818], [-1.760, -2.051, 6.714]], "species": ["Pd", "Pd", "Pd", "Pd", "Pd", "Pd", "Pd", "Pd", "Pd", "Pd", "Pd", "Pd", "Al", "Al", "Al", "Al", "Al", "Al", "Au"], "fractional_positions": [[0.716, 0.197, 0.938], [0.515, 0.425, 0.817], [0.284, 0.803, 0.062], [0.485, 0.575, 0.183], [0.575, 0.183, 0.485], [0.938, 0.716, 0.197], [0.803, 0.062, 0.284], [0.197, 0.938, 0.716], [0.062, 0.284, 0.803], [0.183, 0.485, 0.575], [0.817, 0.515, 0.425], [0.425, 0.817, 0.515], [0.457, 0.202, 0.118], [0.882, 0.543, 0.798], [0.202, 0.118, 0.457], [0.118, 0.457, 0.202], [0.798, 0.882, 0.543], [0.543, 0.798, 0.882], [0.000, 0.000, 0.000]], "dos_ef_per_ev_cell": 5.35}

---

No. 11
{"formula": "Al2PdAu7", "functional": "PBE", "state": "optimized geometry", "lattice_angstrom": [[-2.533, -1.289, -2.810], [0.492, -7.383, 2.944], [-5.375, 5.373, 2.380]], "species": ["Au", "Au", "Au", "Au", "Au", "Au", "Au", "Pd", "Al", "Al"], "fractional_positions": [[0.500, 0.088, 0.299], [0.500, 0.299, 0.088], [0.500, 0.500, 0.500], [0.000, 0.792, 0.208], [0.000, 0.208, 0.792], [0.500, 0.701, 0.912], [0.500, 0.912, 0.701], [0.000, 0.000, 0.000], [0.500, 0.313, 0.687], [0.500, 0.687, 0.313]], "dos_ef_per_ev_cell": 4.32}

---

No. 12
{"formula": "AlPdAu", "functional": "PBE", "state": "optimized geometry", "lattice_angstrom": [[4.210, 0.000, 0.000], [2.105, 3.646, 0.000], [2.105, 1.215, 3.437]], "species": ["Al", "Pd", "Au"], "fractional_positions": [[0.250, 0.250, 0.250], [0.000, 0.000, 0.000], [0.500, 0.500, 0.500]], "dos_ef_per_ev_cell": 0.54}

---

Number 1: formation energy from the elements -120.0 meV/atom, M_tot 0.000 μB per atom. Number 2: formation energy from the elements -21.6 meV/atom, M_tot 0.000 μB per atom. Number 3: formation energy from the elements -527.5 meV/atom, M_tot 0.000 μB per atom. Number 4: formation energy from the elements -480.7 meV/atom, M_tot 0.000 μB per atom. Number 5: formation energy from the elements -318.0 meV/atom, M_tot 0.000 μB per atom. Number 6: formation energy from the elements -207.8 meV/atom, M_tot 0.000 μB per atom. Number 7: formation energy from the elements -377.2 meV/atom, M_tot 0.000 μB per atom. Number 8: formation energy from the elements -502.4 meV/atom, M_tot 0.000 μB per atom. Number 9: formation energy from the elements -247.5 meV/atom, M_tot 0.000 μB per atom. Number 10: formation energy from the elements -601.5 meV/atom, M_tot 0.000 μB per atom. Number 11: formation energy from the elements -37.7 meV/atom, M_tot 0.000 μB per atom. Number 12: formation energy from the elements -484.9 meV/atom, M_tot 0.000 μB per atom.